*P*
{"formula": "Na2LaBi2", "functional": "GGA-PBE", "state": "optimized geometry", "cell": [[9.1308, 0.0000, 0.0000], [0.0000, 9.1308, 0.0000], [0.0000, 0.0000, 3.5358]], "species": ["Na", "Na", "Na", "Na", "Bi", "Bi", "Bi", "Bi", "La", "La"], "fractional_positions": [[0.6113, 0.1113, 0.0000], [0.3887, 0.8887, 0.0000], [0.8887, 0.6113, 0.0000], [0.1113, 0.3887, 0.0000], [0.6872, 0.8128, 0.5000], [0.1872, 0.6872, 0.5000], [0.8128, 0.3128, 0.5000], [0.3128, 0.1872, 0.5000], [0.5000, 0.5000, 0.0000], [0.0000, 0.0000, 0.0000]], "crystal_system": "tetragonal", "spacegroup": "P4/mbm (127)"}

*Q*
{"formula": "Na2LaBi2", "functional": "GGA-PBE", "state": "optimized geometry", "cell": [[-1.9263, 5.7112, -7.0713], [-7.4052, -5.1778, -2.1647], [-2.0953, 2.0618, 2.2360]], "species": ["Na", "Na", "Na", "Na", "Bi", "Bi", "Bi", "Bi", "La", "La"], "fractional_positions": [[0.8792, 0.3792, 0.5000], [0.1208, 0.6208, 0.5000], [0.3792, 0.1208, 0.5000], [0.6208, 0.8792, 0.5000], [0.8214, 0.6786, 0.0000], [0.6786, 0.1786, 0.0000], [0.1786, 0.3214, 0.0000], [0.3214, 0.8214, 0.0000], [0.5000, 0.5000, 0.0000], [0.0000, 0.0000, 0.0000]], "crystal_system": "tetragonal", "spacegroup": "P4/mbm (127)"}

The structure with the least stability is *Q*.

*P*
{"formula": "LaNbBi2", "functional": "GGA-PBE", "state": "optimized geometry", "cell": [[6.1470, 0.0000, 0.0000], [0.0000, 6.1470, 0.0000], [3.0735, 3.0735, 8.1903]], "species": ["Bi", "Bi", "Bi", "Bi", "Nb", "Nb", "La", "La"], "fractional_positions": [[0.5483, 0.1250, 0.2500], [0.2017, 0.6250, 0.2500], [0.3750, 0.4517, 0.7500], [0.8750, 0.7983, 0.7500], [0.2500, 0.7500, 0.5000], [0.5000, 0.5000, 0.0000], [0.7500, 0.2500, 0.5000], [0.0000, 0.0000, 0.0000]], "crystal_system": "tetragonal", "spacegroup": "I-42d (122)"}

*Q*
{"formula": "LaNbBi2", "functional": "GGA-PBE", "state": "optimized geometry", "cell": [[-5.1374, -0.6740, 1.2971], [-3.3407, 4.1671, -0.0684], [-3.7720, 0.3375, -3.7667]], "species": ["Bi", "Bi", "La", "Nb"], "fractional_positions": [[0.2500, 0.2500, 0.2500], [0.7500, 0.7500, 0.7500], [0.5000, 0.5000, 0.5000], [0.0000, 0.0000, 0.0000]], "crystal_system": "cubic", "spacegroup": "Fm-3m (225)"}

The structure with the least stability is *P*.

*P*
{"formula": "LaNdBi2", "functional": "GGA-PBE", "state": "optimized geometry", "cell": [[-1.2899, -0.6875, 4.3779], [3.1899, -0.3617, 3.3161], [0.3339, 7.4953, 3.7084]], "species": ["Bi", "Bi", "La", "Nd"], "fractional_positions": [[0.2498, 0.2498, 0.2507], [0.0835, 0.0835, 0.7496], [0.6689, 0.6689, 0.9934], [0.4979, 0.4979, 0.5064]], "crystal_system": "trigonal", "spacegroup": "R3m (160)"}

*Q*
{"formula": "LaNdBi2", "functional": "GGA-PBE", "state": "optimized geometry", "cell": [[-4.2199, 1.2976, -1.3935], [0.5363, -3.9021, 2.4330], [-1.8956, 7.9134, 13.1093]], "species": ["La", "La", "Bi", "Bi", "Bi", "Bi", "Nd", "Nd"], "fractional_positions": [[0.6667, 0.3333, 0.2500], [0.3333, 0.6667, 0.7500], [0.6667, 0.3333, 0.8791], [0.6667, 0.3333, 0.6209], [0.3333, 0.6667, 0.1209], [0.3333, 0.6667, 0.3791], [0.0000, 0.0000, 0.0000], [0.0000, 0.0000, 0.5000]], "crystal_system": "hexagonal", "spacegroup": "P6_3/mmc (194)"}

*R*
{"formula": "LaNdBi2", "functional": "GGA-PBE", "state": "optimized geometry", "cell": [[-0.0918, 3.7234, -2.8027], [-2.0834, -0.2687, -4.1611], [-7.2823, 3.3562, 0.8139]], "species": ["Bi", "Bi", "Nd", "La"], "fractional_positions": [[0.2513, 0.2513, 0.2458], [0.7487, 0.7487, 0.7542], [0.0000, 0.0000, 0.0000], [0.5000, 0.5000, 0.5000]], "crystal_system": "trigonal", "spacegroup": "R-3m (166)"}

The structure with the least stability is *P*.

*P*
{"formula": "LaNd3Bi3", "functional": "GGA-PBE", "state": "optimized geometry", "cell": [[-2.9593, -8.3839, 3.5044], [4.7358, -8.0172, -2.1506], [4.3529, -4.6328, 5.6229]], "species": ["Bi", "Bi", "Bi", "Bi", "Bi", "Bi", "Nd", "Nd", "Nd", "Nd", "Nd", "Nd", "La", "La"], "fractional_positions": [[0.7020, 0.4646, 0.7558], [0.2980, 0.5354, 0.2442], [0.4646, 0.0775, 0.7558], [0.5354, 0.9225, 0.2442], [0.0775, 0.7020, 0.7558], [0.9225, 0.2980, 0.2442], [0.3489, 0.8188, 0.7431], [0.1812, 0.9108, 0.2569], [0.8188, 0.0892, 0.7431], [0.6511, 0.1812, 0.2569], [0.9108, 0.6511, 0.2569], [0.0892, 0.3489, 0.7431], [0.3337, 0.3337, 0.9988], [0.6663, 0.6663, 0.0012]], "crystal_system": "trigonal", "spacegroup": "R-3 (148)"}

*Q*
{"formula": "LaNd3Bi3", "functional": "GGA-PBE", "state": "optimized geometry", "cell": [[9.7460, 0.0000, 0.0000], [0.0000, 9.7460, 0.0000], [0.0000, 0.0000, 9.7460]], "species": ["Nd", "Nd", "Nd", "Nd", "Nd", "Nd", "Nd", "Nd", "Nd", "Nd", "Nd", "Nd", "La", "La", "La", "La", "Bi", "Bi", "Bi", "Bi", "Bi", "Bi", "Bi", "Bi", "Bi", "Bi", "Bi", "Bi"], "fractional_positions": [[0.8201, 0.3201, 0.1799], [0.6795, 0.3205, 0.8205], [0.3201, 0.1799, 0.8201], [0.0730, 0.4270, 0.5730], [0.3205, 0.8205, 0.6795], [0.4270, 0.5730, 0.0730], [0.9270, 0.9270, 0.9270], [0.8205, 0.6795, 0.3205], [0.5730, 0.0730, 0.4270], [0.1799, 0.8201, 0.3201], [0.1795, 0.1795, 0.1795], [0.6799, 0.6799, 0.6799], [0.5710, 0.9290, 0.0710], [0.4290, 0.4290, 0.4290], [0.9290, 0.0710, 0.5710], [0.0710, 0.5710, 0.9290], [0.8778, 0.9997, 0.2473], [0.3778, 0.5003, 0.7527], [0.5003, 0.7527, 0.3778], [0.1222, 0.4997, 0.2527], [0.7473, 0.6222, 0.0003], [0.6222, 0.0003, 0.7473], [0.4997, 0.2527, 0.1222], [0.7527, 0.3778, 0.5003], [0.2527, 0.1222, 0.4997], [0.2473, 0.8778, 0.9997], [0.9997, 0.2473, 0.8778], [0.0003, 0.7473, 0.6222]], "crystal_system": "cubic", "spacegroup": "P2_13 (198)"}

The structure with the least stability is *P*.

*P*
{"formula": "La3NdBi3", "functional": "GGA-PBE", "state": "optimized geometry", "cell": [[9.8382, 0.0000, 0.0000], [0.0000, 9.8382, 0.0000], [0.0000, 0.0000, 9.8382]], "species": ["La", "La", "La", "La", "La", "La", "La", "La", "La", "La", "La", "La", "Bi", "Bi", "Bi", "Bi", "Bi", "Bi", "Bi", "Bi", "Bi", "Bi", "Bi", "Bi", "Nd", "Nd", "Nd", "Nd"], "fractional_positions": [[0.6782, 0.3218, 0.8218], [0.1782, 0.1782, 0.1782], [0.8222, 0.3222, 0.1778], [0.4303, 0.5697, 0.0697], [0.3222, 0.1778, 0.8222], [0.5697, 0.0697, 0.4303], [0.9303, 0.9303, 0.9303], [0.0697, 0.4303, 0.5697], [0.1778, 0.8222, 0.3222], [0.3218, 0.8218, 0.6782], [0.6778, 0.6778, 0.6778], [0.8218, 0.6782, 0.3218], [0.7523, 0.6277, 0.9995], [0.8723, 0.0005, 0.2523], [0.1277, 0.5005, 0.2477], [0.5005, 0.2477, 0.1277], [0.3723, 0.4995, 0.7477], [0.2477, 0.1277, 0.5005], [0.9995, 0.7523, 0.6277], [0.4995, 0.7477, 0.3723], [0.0005, 0.2523, 0.8723], [0.7477, 0.3723, 0.4995], [0.6277, 0.9995, 0.7523], [0.2523, 0.8723, 0.0005], [0.9289, 0.0711, 0.5711], [0.0711, 0.5711, 0.9289], [0.4289, 0.4289, 0.4289], [0.5711, 0.9289, 0.0711]], "crystal_system": "cubic", "spacegroup": "P2_13 (198)"}

*Q*
{"formula": "La3NdBi3", "functional": "GGA-PBE", "state": "optimized geometry", "cell": [[-5.3118, -1.5929, 2.6030], [0.4387, -8.5391, -4.3304], [3.8980, 1.1792, 8.6761]], "species": ["La", "La", "La", "La", "La", "La", "Nd", "Nd", "Bi", "Bi", "Bi", "Bi", "Bi", "Bi"], "fractional_positions": [[0.7500, 0.2398, 0.2525], [0.7500, 0.0127, 0.7602], [0.2500, 0.7602, 0.7475], [0.7500, 0.7475, 0.9873], [0.2500, 0.9873, 0.2398], [0.2500, 0.2525, 0.0127], [0.7500, 0.3333, 0.6667], [0.2500, 0.6667, 0.3333], [0.2500, 0.0571, 0.6256], [0.2500, 0.3744, 0.4315], [0.2500, 0.5685, 0.9429], [0.7500, 0.4315, 0.0571], [0.7500, 0.9429, 0.3744], [0.7500, 0.6256, 0.5685]], "crystal_system": "hexagonal", "spacegroup": "P6_3/m (176)"}

The structure with the least stability is *Q*.

*P*
{"formula": "La3NdBi2", "functional": "GGA-PBE", "state": "optimized geometry", "cell": [[-0.1229, -3.0584, -6.7236], [4.4459, -6.2826, 2.7765], [-8.6021, 0.9189, 3.7977]], "species": ["La", "La", "La", "La", "La", "La", "Bi", "Bi", "Bi", "Bi", "Nd", "Nd"], "fractional_positions": [[0.5000, 0.2500, 0.0000], [0.5000, 0.7500, 0.0000], [0.2002, 0.4502, 0.4004], [0.7998, 0.0498, 0.5996], [0.7998, 0.5498, 0.5996], [0.2002, 0.9502, 0.4004], [0.5162, 0.3522, 0.7044], [0.8118, 0.1478, 0.2956], [0.1882, 0.8522, 0.7044], [0.4838, 0.6478, 0.2956], [0.0000, 0.5000, 0.0000], [0.0000, 0.0000, 0.0000]], "crystal_system": "orthorhombic", "spacegroup": "Ibam (72)"}

*Q*
{"formula": "La3NdBi2", "functional": "GGA-PBE", "state": "optimized geometry", "cell": [[-1.9989, 1.3820, -4.0662], [-2.0822, -4.2346, -0.4156], [-7.3054, 3.1351, 4.6568]], "species": ["La", "La", "La", "Bi", "Bi", "Nd"], "fractional_positions": [[0.0000, 0.5000, 0.6453], [0.5000, 0.0000, 0.3547], [0.0000, 0.0000, 0.0000], [0.0000, 0.5000, 0.2781], [0.5000, 0.0000, 0.7219], [0.5000, 0.5000, 0.0000]], "crystal_system": "tetragonal", "spacegroup": "P-4m2 (115)"}

The structure with the least stability is *P*.